1.
This record from the Alexandria database describes an optimized crystal structure of LiAg6Sn8. The functional is PBE.

Geometry as POSCAR:
```
LiAg6Sn8
1.0
6.998 0.405 0.418
0.186 7.007 0.418
0.186 0.192 7.017
Sn Ag Li
8 6 1
Direct
0.074 0.820 0.365
0.180 0.635 0.926
0.365 0.074 0.820
0.820 0.365 0.074
0.926 0.180 0.635
0.227 0.227 0.227
0.635 0.926 0.180
0.773 0.773 0.773
0.545 0.434 0.792
0.434 0.792 0.545
0.208 0.455 0.566
0.455 0.566 0.208
0.566 0.208 0.455
0.792 0.545 0.434
0.000 0.000 0.000
```

The value obtained for the total DFT energy (no corrections) is -50.81 eV per cell. As for the space-group type: R-3.



2.
This record from the Alexandria database describes an optimized crystal structure of Li2Ag3Sn. The functional is PBE.

Geometry as POSCAR:
```
Li2Ag3Sn
1.0
-0.604 2.842 -0.789
-4.807 -0.450 2.061
5.388 1.259 6.155
Ag Sn Li
3 1 2
Direct
0.000 0.500 0.000
0.190 0.190 0.380
0.810 0.810 0.620
0.000 0.000 0.000
0.645 0.645 0.289
0.355 0.355 0.711
```

The value obtained for the total DFT energy (no corrections) is -16.24 eV per cell. As for the space-group type: Immm.



3.
This record from the Alexandria database describes an optimized crystal structure of Li3AgSn. The functional is PBE.

Geometry as POSCAR:
```
Li3AgSn
1.0
-0.182 1.864 4.409
-4.562 1.268 -0.725
-1.449 -4.226 1.727
Sn Li Ag
1 3 1
Direct
0.500 0.500 0.500
0.500 0.000 0.000
0.000 0.000 0.500
0.000 0.500 0.000
0.000 0.000 0.000
```

The offset from the most stable computed form comes out at 374.9 meV/atom. The value obtained for the total DFT energy (no corrections) is -12.42 eV per cell. As for the space-group type: Pm-3m.



Question: Look up the total DFT energy (no corrections) of the third one.
Answer: -12.42 eV per cell



Copy entry 2 word for word.
This record from the Alexandria database describes an optimized crystal structure of Li2Ag3Sn. The functional is PBE.

Geometry as POSCAR:
```
Li2Ag3Sn
1.0
-0.604 2.842 -0.789
-4.807 -0.450 2.061
5.388 1.259 6.155
Ag Sn Li
3 1 2
Direct
0.000 0.500 0.000
0.190 0.190 0.380
0.810 0.810 0.620
0.000 0.000 0.000
0.645 0.645 0.289
0.355 0.355 0.711
```

The value obtained for the total DFT energy (no corrections) is -16.24 eV per cell. As for the space-group type: Immm.



Question: Which of these has the lowest total DFT energy (no corrections)?
Answer: LiAg6Sn8